The following is a DFT calculation (GGA-PBE) of a relaxed structure of Ba4GeBr5. Values from VASP.

Cell and atoms, written as Quantum ESPRESSO input:
```
&SYSTEM
  ibrav = 0, nat = 10, ntyp = 3
/
ATOMIC_SPECIES
Br 79.90 Br.upf
Ge 72.64 Ge.upf
Ba 137.33 Ba.upf
CELL_PARAMETERS angstrom
4.792 0.000 -1.196
-0.510 8.181 -2.044
0.051 -0.016 10.407
ATOMIC_POSITIONS angstrom
Br 2.141 4.090 -1.620
Br 0.912 0.805 3.656
Br 3.421 7.361 3.513
Br 3.785 3.572 4.968
Br 0.549 4.593 2.201
Ge 2.396 0.000 -0.598
Ba 2.988 2.401 1.775
Ba 1.346 5.764 5.394
Ba 4.439 1.572 7.590
Ba -0.105 6.593 -0.422
```

## Properties
E above lowest polymorph: 27 meV per atom
Formation energy (no corrections): -1.71 eV/atom
Calculated volume: 408 Å³/cell

The following is a DFT calculation (GGA-PBE) of a relaxed structure of BaGeBr3. Values from VASP.

Cell and atoms, written as Quantum ESPRESSO input:
```
&SYSTEM
  ibrav = 0, nat = 5, ntyp = 3
/
ATOMIC_SPECIES
Br 79.90 Br.upf
Ge 72.64 Ge.upf
Ba 137.33 Ba.upf
CELL_PARAMETERS angstrom
-2.678 -4.885 0.110
3.435 -1.972 -3.919
3.474 -1.816 3.960
ATOMIC_POSITIONS angstrom
Br -1.339 -2.442 0.055
Br 1.718 -0.986 -1.959
Br 1.737 -0.908 1.980
Ge 0.000 0.000 0.000
Ba 2.116 -4.336 0.075
```

## Properties
E above lowest polymorph: 0 meV per atom
Formation energy (no corrections): -0.97 eV/atom
Calculated volume: 173 Å³/cell

The following is a DFT calculation (GGA-PBE) of a relaxed structure of BaGe5Br12. Values from VASP.

Cell and atoms, written as Quantum ESPRESSO input:
```
&SYSTEM
  ibrav = 0, nat = 18, ntyp = 3
/
ATOMIC_SPECIES
Br 79.90 Br.upf
Ba 137.33 Ba.upf
Ge 72.64 Ge.upf
CELL_PARAMETERS angstrom
7.277 0.000 0.015
3.639 6.314 0.008
0.025 0.000 14.111
ATOMIC_POSITIONS angstrom
Br 5.912 2.363 1.694
Br 6.081 4.210 5.533
Br 8.499 4.210 8.608
Br 1.391 2.363 12.432
Br 2.723 0.000 1.690
Br 8.218 6.314 12.444
Br 4.861 2.104 8.601
Br 5.029 3.951 12.440
Br 2.442 2.103 5.525
Br 4.859 6.314 8.609
Br 9.551 3.951 1.702
Br 9.721 6.314 5.533
Ba 0.000 0.000 0.000
Ge 3.651 0.000 7.063
Ge 7.278 4.210 0.015
Ge 3.639 2.104 0.008
Ge 3.651 4.208 7.063
Ge 7.290 2.107 7.071
```

## Properties
Formation energy (no corrections): -0.80 eV/atom
Calculated volume: 648 Å³/cell

The following is a DFT calculation (GGA-PBE) of a relaxed structure of Ba6Ge2HBr3. Values from VASP.

Cell and atoms, written as Quantum ESPRESSO input:
```
&SYSTEM
  ibrav = 0, nat = 12, ntyp = 4
/
ATOMIC_SPECIES
Ba 137.33 Ba.upf
Ge 72.64 Ge.upf
Br 79.90 Br.upf
H 1.01 H.upf
CELL_PARAMETERS angstrom
8.222 -0.005 0.005
-4.113 7.119 0.005
-1.365 -2.364 8.054
ATOMIC_POSITIONS angstrom
Ba -0.042 4.752 6.291
Ba 2.720 4.709 1.757
Ba 4.137 2.339 6.291
Ba 0.024 0.041 6.308
Ba 2.786 -0.002 1.774
Ba -1.394 2.412 1.774
Ge 4.115 2.367 0.005
Ge -0.006 4.747 0.005
Br 1.372 2.375 4.032
Br 5.516 -0.018 4.032
Br -2.773 4.769 4.032
H 0.000 0.000 0.000
```

## Properties
Final energy: -42.5 eV per cell
Calculated volume: 472 Å³/cell

The following is a DFT calculation (GGA-PBE) of a relaxed structure of Ba6GeI3Br2. Values from VASP.

Cell and atoms, written as Quantum ESPRESSO input:
```
&SYSTEM
  ibrav = 0, nat = 12, ntyp = 4
/
ATOMIC_SPECIES
Ba 137.33 Ba.upf
Br 79.90 Br.upf
I 126.90 I.upf
Ge 72.64 Ge.upf
CELL_PARAMETERS angstrom
-1.996 4.292 -6.882
5.877 -5.925 -0.361
-7.092 -5.115 0.548
ATOMIC_POSITIONS angstrom
Ba -1.911 0.126 -2.601
Ba 1.348 -2.386 -5.366
Ba -4.560 -4.362 -1.330
Ba -1.301 -6.874 -4.094
Ba 0.598 -3.131 -0.522
Ba -3.810 -3.617 -6.173
Br 0.636 0.876 -4.702
Br 3.244 -2.509 -2.541
I -1.606 -3.374 -3.348
I 0.985 -6.737 -1.202
I -4.197 -0.011 -5.494
Ge 0.000 0.000 0.000
```

## Properties
Formation energy (no corrections): -1.37 eV/atom
Calculated volume: 503 Å³/cell

The following is a DFT calculation (GGA-PBE) of a relaxed structure of Ba4GeI2Br. Values from VASP.

Cell and atoms, written as Quantum ESPRESSO input:
```
&SYSTEM
  ibrav = 0, nat = 8, ntyp = 4
/
ATOMIC_SPECIES
I 126.90 I.upf
Ba 137.33 Ba.upf
Ge 72.64 Ge.upf
Br 79.90 Br.upf
CELL_PARAMETERS angstrom
4.919 0.000 0.000
0.000 8.736 -0.272
0.000 2.980 7.881
ATOMIC_POSITIONS angstrom
I 2.460 1.490 3.941
I 0.000 2.980 7.881
Ba 2.460 4.653 5.625
Ba 4.919 3.210 1.976
Ba 2.460 7.063 1.984
Ba 0.000 8.505 5.632
Ge 0.000 5.858 3.804
Br 2.460 7.348 7.745
```

## Properties
Formation energy (no corrections): -1.31 eV/atom
Calculated volume: 343 Å³/cell

The following is a DFT calculation (GGA-PBE) of a relaxed structure of Ba6Ge2IBr3. Values from VASP.

Cell and atoms, written as Quantum ESPRESSO input:
```
&SYSTEM
  ibrav = 0, nat = 12, ntyp = 4
/
ATOMIC_SPECIES
I 126.90 I.upf
Ba 137.33 Ba.upf
Br 79.90 Br.upf
Ge 72.64 Ge.upf
CELL_PARAMETERS angstrom
4.855 0.000 0.000
0.000 9.919 0.514
-2.427 -2.703 10.327
ATOMIC_POSITIONS angstrom
I 2.427 0.000 0.000
Ba 0.000 2.556 6.940
Ba 2.427 0.196 3.689
Ba 0.000 7.020 7.152
Ba 2.427 4.660 3.901
Ba 2.427 4.632 10.394
Ba 0.000 2.584 0.446
Br 2.427 4.959 0.257
Br 2.427 -0.205 7.140
Br 0.000 7.421 3.701
Ge 2.427 4.851 7.306
Ge 0.000 2.365 3.534
```

## Properties
Formation energy (no corrections): -1.30 eV/atom
Calculated volume: 504 Å³/cell

The following is a DFT calculation (GGA-PBE) of a relaxed structure of Ba8GeI4Br3. Values from VASP.

Cell and atoms, written as Quantum ESPRESSO input:
```
&SYSTEM
  ibrav = 0, nat = 16, ntyp = 4
/
ATOMIC_SPECIES
Ba 137.33 Ba.upf
I 126.90 I.upf
Br 79.90 Br.upf
Ge 72.64 Ge.upf
CELL_PARAMETERS angstrom
9.608 0.000 0.000
0.000 10.040 0.299
-4.804 -4.800 6.796
ATOMIC_POSITIONS angstrom
Ba 4.804 4.991 3.524
Ba 0.000 4.993 3.368
Ba 0.000 0.249 3.571
Ba 7.320 2.759 0.170
Ba 2.516 2.481 6.925
Ba 4.804 0.247 3.727
Ba 2.288 2.759 0.170
Ba -2.516 2.481 6.925
I 2.402 -2.400 3.398
I -2.402 -2.400 3.398
I 4.804 0.000 0.000
I 0.000 0.000 0.000
Br -2.402 2.620 3.547
Br 4.804 5.020 0.150
Br 2.402 2.620 3.547
Ge 0.000 5.020 0.150
```

## Properties
Formation energy (no corrections): -1.37 eV/atom
Calculated volume: 669 Å³/cell

The following is a DFT calculation (GGA-PBE) of a relaxed structure of Ba6Ge2I3Br. Values from VASP.

Cell and atoms, written as Quantum ESPRESSO input:
```
&SYSTEM
  ibrav = 0, nat = 12, ntyp = 4
/
ATOMIC_SPECIES
Ge 72.64 Ge.upf
Ba 137.33 Ba.upf
I 126.90 I.upf
Br 79.90 Br.upf
CELL_PARAMETERS angstrom
-4.388 1.375 1.698
-4.186 -2.224 -9.017
1.534 -10.027 5.010
ATOMIC_POSITIONS angstrom
Ge -1.569 -3.752 -1.016
Ge -5.471 -7.124 -1.293
Ba -4.129 -8.134 -4.083
Ba -1.065 -0.879 -2.041
Ba -5.975 -9.997 -0.268
Ba -2.911 -2.742 1.774
Ba -4.754 -3.860 -2.085
Ba -2.286 -7.016 -0.224
I -4.287 -0.425 -3.659
I -3.350 -6.064 3.329
I -3.690 -4.812 -5.638
Br -2.194 0.688 0.849
```

## Properties
Formation energy (no corrections): -1.22 eV/atom
Calculated volume: 533 Å³/cell

The following is a DFT calculation (GGA-PBE) of a relaxed structure of Ba2GeIrBr. Values from VASP.

Cell and atoms, written as Quantum ESPRESSO input:
```
&SYSTEM
  ibrav = 0, nat = 5, ntyp = 4
/
ATOMIC_SPECIES
Br 79.90 Br.upf
Ba 137.33 Ba.upf
Ir 192.22 Ir.upf
Ge 72.64 Ge.upf
CELL_PARAMETERS angstrom
6.197 0.000 0.000
0.000 6.197 0.000
0.000 0.000 4.688
ATOMIC_POSITIONS angstrom
Br 3.099 3.099 2.344
Ba 0.000 3.099 0.000
Ba 3.099 0.000 0.000
Ir 0.000 0.000 0.000
Ge 0.000 0.000 2.344
```

## Properties
Formation energy (no corrections): -0.88 eV/atom
Calculated volume: 180 Å³/cell

The following is a DFT calculation (GGA-PBE) of a relaxed structure of K2BaGeBr6. Values from VASP.

Cell and atoms, written as Quantum ESPRESSO input:
```
&SYSTEM
  ibrav = 0, nat = 20, ntyp = 4
/
ATOMIC_SPECIES
K 39.10 K.upf
Br 79.90 Br.upf
Ge 72.64 Ge.upf
Ba 137.33 Ba.upf
CELL_PARAMETERS angstrom
-0.429 -5.544 -5.572
8.163 -1.416 0.780
-2.112 -7.667 8.180
ATOMIC_POSITIONS angstrom
K 6.980 -3.355 2.558
K -1.358 -11.273 0.830
K 2.930 -9.478 3.597
K 2.691 -5.149 -0.208
Br 3.595 -7.377 -2.550
Br 2.027 -7.250 5.938
Br 0.475 -4.754 2.536
Br -0.464 -5.610 -1.257
Br 5.147 -9.873 0.852
Br 1.511 -1.781 -0.242
Br 4.111 -12.846 3.630
Br 6.086 -9.017 4.645
Br 0.317 -11.553 3.946
Br 0.864 -8.495 1.122
Br 4.758 -6.132 2.267
Br 5.304 -3.074 -0.558
Ge -1.271 -6.605 1.304
Ge 4.082 -0.708 0.390
Ba 3.025 -4.542 4.480
Ba -0.215 -2.772 -2.786
```

## Properties
Formation energy (no corrections): -1.51 eV/atom
Calculated volume: 747 Å³/cell

The following is a DFT calculation (GGA-PBE) of a relaxed structure of BaLi2GeBr8. Values from VASP.

Cell and atoms, written as Quantum ESPRESSO input:
```
&SYSTEM
  ibrav = 0, nat = 12, ntyp = 4
/
ATOMIC_SPECIES
Ge 72.64 Ge.upf
Br 79.90 Br.upf
Li 6.94 Li.upf
Ba 137.33 Ba.upf
CELL_PARAMETERS angstrom
-4.640 3.832 -2.927
3.654 -4.229 -3.680
-6.167 -6.468 1.308
ATOMIC_POSITIONS angstrom
Ge -3.084 -3.234 0.654
Br -5.457 -3.266 -0.203
Br -7.558 -1.823 -2.968
Br 0.405 -5.042 -2.331
Br -5.211 -7.940 -2.135
Br -1.695 -3.599 -5.096
Br -2.178 -2.422 -1.557
Br -1.941 1.076 -3.164
Br -4.974 -4.443 -3.741
Li -3.604 -0.668 -2.811
Li -3.549 -6.197 -2.487
Ba 0.000 0.000 0.000
```

## Properties
Formation energy (no corrections): -1.16 eV/atom
Calculated volume: 350 Å³/cell